Material: Ta2GePd
Method: DFT, GGA-PBE
State: relaxed

Structure (extended XYZ):
```
16
Lattice="6.4797 0.0000 0.0000 0.0000 6.4797 0.0000 0.0000 0.0000 6.4797" Properties=species:S:1:pos:R:3 pbc="T T T"
Ta 0.0000 0.0000 0.0000
Ta 0.0000 3.2399 3.2399
Ta 1.6199 1.6199 1.6199
Ta 1.6199 4.8598 4.8598
Ta 3.2399 0.0000 3.2399
Ta 3.2399 3.2399 0.0000
Ta 4.8598 1.6199 4.8598
Ta 4.8598 4.8598 1.6199
Ge 0.0000 0.0000 3.2399
Ge 0.0000 3.2399 0.0000
Ge 3.2399 0.0000 0.0000
Ge 3.2399 3.2399 3.2399
Pd 1.6199 1.6199 4.8598
Pd 1.6199 4.8598 1.6199
Pd 4.8598 1.6199 1.6199
Pd 4.8598 4.8598 4.8598
```

Summary:
* DFT total energy: -8.23 eV/atom
* density: 13.21 Mg/m³